--- a ---
Compound: InFeAs2Br
Source: Alexandria
Functional: PBE
Structure: optimized geometry

Structure (POSCAR):
```
InFeAs2Br
1.0
5.223 0.000 0.000
0.000 5.223 0.000
0.000 0.000 5.412
In Fe As Br
1 1 2 1
Cartesian
0.000 0.000 0.000
2.611 2.611 2.706
0.000 2.611 0.000
2.611 0.000 0.000
0.000 0.000 2.706
```

DOS at the Fermi energy = 8.2 states/eV/f.u.
M_tot = 3.80 μB per cell

--- b ---
Compound: InFeAs2Br
Source: Alexandria
Functional: PBE
Structure: optimized geometry

Structure (POSCAR):
```
InFeAs2Br
1.0
4.530 0.000 0.000
0.000 4.530 0.000
0.000 0.000 6.270
In Fe As Br
1 1 2 1
Cartesian
0.000 0.000 0.000
2.265 2.265 3.135
0.000 2.265 3.135
2.265 0.000 3.135
2.265 2.265 0.000
```

DOS at the Fermi energy = 3.0 states/eV/f.u.
M_tot = 1.80 μB per cell

Energies relative to the minimum, meV/atom: a 930; b 0

--- a ---
Compound: KFeAsBr2
Source: Alexandria
Functional: PBE
Structure: optimized geometry

Structure (POSCAR):
```
KFeAsBr2
1.0
5.497 0.000 0.000
0.000 5.497 0.000
0.000 0.000 4.519
K Fe As Br
1 1 1 2
Cartesian
0.000 0.000 0.000
2.748 2.748 2.259
2.748 2.748 0.000
0.000 2.748 2.259
2.748 0.000 2.259
```

DOS at the Fermi energy = 4.4 states/eV/f.u.
M_tot = 1.87 μB per cell

--- b ---
Compound: KFeAsBr2
Source: Alexandria
Functional: PBE
Structure: optimized geometry

Structure (POSCAR):
```
KFeAsBr2
1.0
5.949 0.000 0.000
0.000 5.949 0.000
0.000 0.000 6.057
K Fe As Br
1 1 1 2
Cartesian
0.000 0.000 0.000
2.974 2.974 3.028
0.000 0.000 3.028
0.000 2.974 0.000
2.974 0.000 0.000
```

DOS at the Fermi energy = 6.9 states/eV/f.u.
M_tot = 6.46 μB per cell

Energies relative to the minimum, meV/atom: a 0; b 1276

--- a ---
Compound: FeAsBr2N
Source: Alexandria
Functional: PBE
Structure: optimized geometry

Structure (POSCAR):
```
FeAsBr2N
1.0
4.492 0.000 0.000
0.000 4.492 0.000
0.000 0.000 4.654
Fe As Br N
1 1 2 1
Cartesian
0.000 0.000 0.000
2.246 2.246 0.000
0.000 2.246 2.327
2.246 0.000 2.327
2.246 2.246 2.327
```

DOS at the Fermi energy = 3.9 states/eV/f.u.
M_tot = 3.95 μB per cell

--- b ---
Compound: FeAsBr2N
Source: Alexandria
Functional: PBE
Structure: optimized geometry

Structure (POSCAR):
```
FeAsBr2N
1.0
4.799 0.000 0.000
0.000 4.799 0.000
0.000 0.000 4.477
Fe As Br N
1 1 2 1
Cartesian
0.000 0.000 0.000
0.000 0.000 2.238
0.000 2.399 0.000
2.399 0.000 0.000
2.399 2.399 2.238
```

DOS at the Fermi energy = 8.2 states/eV/f.u.
M_tot = 0.00 μB per cell

Energies relative to the minimum, meV/atom: a 0; b 237